This record from Alexandria describes a relaxed structure of Sr2InNi. The functional is PBE.

Geometry as POSCAR:
```
Sr2InNi
1.0
-0.716 -1.635 -4.972
-2.562 -4.249 1.814
-1.600 4.829 1.425
Sr Ni In
2 1 1
Cartesian
0.000 0.000 0.000 Sr
-1.977 0.126 -2.563 Sr
-2.900 -1.181 0.830 Ni
-1.639 -2.942 -1.579 In
```

Its total energy is -11.503 eV/cell. Its crystal system is tetragonal. The space-group type is I-4m2.

This record from Alexandria describes a relaxed structure of KBa2Pr. The functional is PBE.

Geometry as POSCAR:
```
KBa2Pr
1.0
-2.856 -1.534 2.400
0.550 -3.594 1.747
5.671 5.122 13.414
K Ba Pr
1 2 1
Cartesian
1.682 -0.003 8.780 K
-0.754 -3.481 7.048 Ba
4.118 3.475 10.512 Ba
0.000 0.000 0.000 Pr
```

Its total energy is -8.379 eV/cell. Its crystal system is trigonal. The space-group type is R-3m.